No. 1
## AlCuBr4 (SCAN)

Data for a crystal of AlCuBr4 relaxed with PBEsol.

- Formation energy (no corrections): -0.9324 eV/atom
- SG: No. 112
- Magnetization: 0.18 μB/cell

abc: 5.720 5.720 10.310
angles: 90.00 90.00 90.00
Element x y z (fractional)
Br: 0.734 0.242 0.624
Br: 0.758 0.734 0.376
Br: 0.266 0.242 0.876
Br: 0.734 0.758 0.876
Br: 0.242 0.266 0.376
Br: 0.266 0.758 0.624
Br: 0.242 0.734 0.124
Br: 0.758 0.266 0.124
Cu: 0.000 0.000 0.500
Cu: 0.000 0.000 0.000
Al: 0.500 0.000 0.750
Al: 0.000 0.500 0.250



No. 2
## Al2CuBr (SCAN)

Data for a crystal of Al2CuBr relaxed with PBEsol.

- Formation energy (no corrections): 0.6459 eV/atom
- Offset from the most stable computed form: 1.17 eV per formula unit
- SG: No. 216
- Magnetization: 0.00 μB/cell

abc: 4.724 4.724 4.724
angles: 60.00 60.00 60.00
Element x y z (fractional)
Al: 0.000 0.000 0.000
Al: 0.750 0.750 0.750
Br: 0.500 0.500 0.500
Cu: 0.250 0.250 0.250



No. 3
## AlCuBr2N (SCAN)

Data for a crystal of AlCuBr2N relaxed with PBEsol.

- Formation energy (no corrections): 0.8991 eV/atom
- SG: No. 123
- Magnetization: 3.01 μB/cell

abc: 4.971 4.971 4.779
angles: 90.00 90.00 90.00
Element x y z (fractional)
Br: 0.500 0.000 0.000
Br: 0.000 0.500 0.000
Cu: 0.000 0.000 0.000
N: 0.500 0.500 0.500
Al: 0.000 0.000 0.500



No. 4
## AlBrF2 (SCAN)

Data for a crystal of AlBrF2 relaxed with PBEsol.

- Formation energy (no corrections): -1.7218 eV/atom
- Offset from the most stable computed form: 3.28 eV per formula unit
- SG: No. 166
- Magnetization: 0.00 μB/cell

abc: 3.210 3.210 8.095
angles: 78.56 78.56 60.00
Element x y z (fractional)
Al: 0.500 0.500 0.500
F: 0.132 0.132 0.603
F: 0.868 0.868 0.397
Br: 0.000 0.000 0.000



No. 5
## AlBrF2 (SCAN)

Data for a crystal of AlBrF2 relaxed with PBEsol.

- Formation energy (no corrections): -2.5424 eV/atom
- Offset from the most stable computed form: 0.00 eV per formula unit
- SG: No. 227
- Magnetization: 0.00 μB/cell

abc: 5.642 5.642 5.642
angles: 60.00 60.00 60.00
Element x y z (fractional)
Al: 0.250 0.250 0.250
Al: 0.000 0.000 0.000
F: 0.625 0.125 0.125
F: 0.125 0.125 0.125
F: 0.125 0.125 0.625
F: 0.125 0.625 0.125
Br: 0.750 0.750 0.750
Br: 0.500 0.500 0.500



No. 6
## AlPdBr2F (SCAN)

Data for a crystal of AlPdBr2F relaxed with PBEsol.

- Formation energy (no corrections): -0.1954 eV/atom
- SG: No. 123
- Magnetization: 0.29 μB/cell

abc: 4.881 4.930 4.930
angles: 90.00 90.00 90.00
Element x y z (fractional)
Br: 0.000 0.000 0.500
Br: 0.000 0.500 0.000
Al: 0.500 0.000 0.000
F: 0.500 0.500 0.500
Pd: 0.000 0.000 0.000



No. 7
## AlFeBr (SCAN)

Data for a crystal of AlFeBr relaxed with PBEsol.

- Formation energy (no corrections): 0.7959 eV/atom
- Offset from the most stable computed form: 0.59 eV per formula unit
- SG: No. 216
- Magnetization: 2.09 μB/cell

abc: 4.382 4.382 4.382
angles: 60.00 60.00 60.00
Element x y z (fractional)
Al: 0.250 0.250 0.250
Br: 0.000 0.000 0.000
Fe: 0.500 0.500 0.500



No. 8
## AlFeBr (SCAN)

Data for a crystal of AlFeBr relaxed with PBEsol.

- Formation energy (no corrections): 0.5977 eV/atom
- Offset from the most stable computed form: 0.00 eV per formula unit
- SG: No. 187
- Magnetization: 2.18 μB/cell

abc: 3.040 4.264 4.264
angles: 120.00 90.00 90.00
Element x y z (fractional)
Al: 0.000 0.000 0.000
Fe: 0.500 0.667 0.333
Br: 0.500 0.333 0.667



No. 9
## AlFe4Br (SCAN)

Data for a crystal of AlFe4Br relaxed with PBEsol.

- Formation energy (no corrections): 0.4488 eV/atom
- SG: No. 216
- Magnetization: 11.23 μB/cell

abc: 4.843 4.843 4.843
angles: 60.00 60.00 60.00
Element x y z (fractional)
Br: 0.000 0.000 0.000
Al: 0.750 0.750 0.750
Fe: 0.871 0.376 0.376
Fe: 0.376 0.871 0.376
Fe: 0.376 0.376 0.871
Fe: 0.376 0.376 0.376



No. 10
## AlFeSe2Br (SCAN)

Data for a crystal of AlFeSe2Br relaxed with PBEsol.

- Formation energy (no corrections): 0.1423 eV/atom
- SG: No. 123
- Magnetization: 4.29 μB/cell

abc: 4.649 4.649 5.162
angles: 90.00 90.00 90.00
Element x y z (fractional)
Br: 0.000 0.000 0.500
Se: 0.500 0.000 0.000
Se: 0.000 0.500 0.000
Fe: 0.000 0.000 0.000
Al: 0.500 0.500 0.500



No. 11
## AlGa2Br (SCAN)

Data for a crystal of AlGa2Br relaxed with PBEsol.

- Formation energy (no corrections): 0.3504 eV/atom
- SG: No. 225
- Magnetization: 0.00 μB/cell

abc: 4.897 4.897 4.897
angles: 60.00 60.00 60.00
Element x y z (fractional)
Al: 0.000 0.000 0.000
Br: 0.500 0.500 0.500
Ga: 0.750 0.750 0.750
Ga: 0.250 0.250 0.250



No. 12
## Al2GaBr (SCAN)

Data for a crystal of Al2GaBr relaxed with PBEsol.

- Formation energy (no corrections): 0.3648 eV/atom
- SG: No. 225
- Magnetization: 0.00 μB/cell

abc: 4.804 4.804 4.804
angles: 60.00 60.00 60.00
Element x y z (fractional)
Ga: 0.000 0.000 0.000
Al: 0.750 0.750 0.750
Al: 0.250 0.250 0.250
Br: 0.500 0.500 0.500



No. 13
## MgAl2GaBr (SCAN)

Data for a crystal of MgAl2GaBr relaxed with PBEsol.

- Formation energy (no corrections): 0.5916 eV/atom
- SG: No. 123
- Magnetization: 0.00 μB/cell

abc: 5.156 5.247 5.247
angles: 90.00 90.00 90.00
Element x y z (fractional)
Ga: 0.500 0.500 0.500
Mg: 0.000 0.000 0.000
Al: 0.000 0.000 0.500
Al: 0.000 0.500 0.000
Br: 0.500 0.000 0.000



Summary of electronic total energy in eV/atom
-17.7306; -11.8947; -13.3332; -10.2946; -11.1153; -16.7924; -14.3177; -14.5159; -16.1728; -16.9572; -14.6256; -12.4626; -10.6650
(order as listed above)